Entry 1:
# NbTlSb (PBE-GGA, optimized geometry)
# - Magnetization: 5.630 μB per cell
# - VASP energy: -60.2 eV for the cell shown
data_NbTlSb
_chemical_formula_sum 'Nb4 Tl4 Sb4'
_cell_length_a 6.8193
_cell_length_b 6.8193
_cell_length_c 6.8193
_cell_angle_alpha 90.00
_cell_angle_beta 90.00
_cell_angle_gamma 90.00
_symmetry_space_group_name_H-M 'F -4 3 m'
_symmetry_Int_Tables_number 216
_symmetry_space_group_name_Hall 'F -4 2 3'
loop_
_atom_site_label
_atom_site_type_symbol
_atom_site_fract_x
_atom_site_fract_y
_atom_site_fract_z
_atom_site_occupancy
Nb1 Nb 0.0000 0.0000 0.0000 1
Tl1 Tl 0.2500 0.2500 0.2500 1
Sb1 Sb 0.2500 0.2500 0.7500 1

=====

Entry 2:
# GdTmAsO (PBE-GGA, optimized geometry)
# - Magnetization: 0.215 μB per cell
# - VASP energy: -53.0 eV for the cell shown
data_GdTmAsO
_chemical_formula_sum 'Gd2 Tm2 As2 O2'
_cell_length_a 4.1049
_cell_length_b 7.7505
_cell_length_c 5.7283
_cell_angle_alpha 90.00
_cell_angle_beta 90.00
_cell_angle_gamma 90.00
_symmetry_space_group_name_H-M 'P m c 21'
_symmetry_Int_Tables_number 26
loop_
_symmetry_equiv_pos_as_xyz
'x,y,z'
'-x,-y,z+1/2'
'-x,y,z'
'x,-y,z+1/2'
loop_
_atom_site_label
_atom_site_type_symbol
_atom_site_fract_x
_atom_site_fract_y
_atom_site_fract_z
_atom_site_occupancy
Gd1 Gd 0.0000 0.1191 0.0000 1
Tm1 Tm 0.5000 0.2851 0.4454 1
As1 As 0.5000 0.3537 0.9379 1
O1 O 0.0000 0.1753 0.3943 1